## PmDy2Er (PBE)

Data for crystalline PmDy2Er at its relaxed geometry.

Cell: 3.558 3.558 10.077 Å, 90.00 90.00 90.00°
Fractional positions:
Dy: 0.000 0.000 0.755
Dy: 0.000 0.000 0.245
Pm: 0.500 0.500 0.500
Er: 0.500 0.500 0.000

Values from the calculation:
The density of states at the Fermi level comes out at 1.29 states/eV per atom. The value obtained for the total energy is -18.4 eV per cell.

***

## Pm8Dy6Er (PBE)

Data for crystalline Pm8Dy6Er at its relaxed geometry.

Cell: 9.118 9.118 8.714 Å, 58.45 58.45 60.00°
Fractional positions:
Dy: 0.540 0.099 0.118
Pm: 0.749 0.718 0.420
Pm: 0.718 0.112 0.420
Pm: 0.422 0.422 0.733
Pm: 0.888 0.251 0.580
Er: 0.000 0.000 0.000
Pm: 0.112 0.749 0.420
Pm: 0.578 0.578 0.267
Dy: 0.756 0.460 0.882
Pm: 0.251 0.282 0.580
Dy: 0.460 0.901 0.882
Dy: 0.099 0.244 0.118
Dy: 0.901 0.756 0.882
Dy: 0.244 0.540 0.118
Pm: 0.282 0.888 0.580

Values from the calculation:
The density of states at the Fermi level comes out at 1.50 states/eV per atom. The value obtained for the total energy is -68.3 eV per cell.

***

## PmDy6Er4 (PBE)

Data for crystalline PmDy6Er4 at its relaxed geometry.

Cell: 7.514 7.514 8.485 Å, 116.28 116.28 90.00°
Fractional positions:
Pm: 0.500 0.500 0.000
Er: 0.083 0.759 0.841
Dy: 0.500 0.000 0.000
Dy: 0.449 0.924 0.373
Dy: 0.924 0.449 0.373
Er: 0.917 0.917 0.159
Dy: 0.000 0.500 0.000
Er: 0.759 0.083 0.841
Dy: 0.551 0.551 0.627
Er: 0.241 0.241 0.159
Dy: 0.076 0.076 0.627

Values from the calculation:
The density of states at the Fermi level comes out at 1.36 states/eV per atom. The value obtained for the total energy is -45.9 eV per cell.

***

## Pm4DyEr8 (PBE)

Data for crystalline Pm4DyEr8 at its relaxed geometry.

Cell: 7.369 7.369 9.878 Å, 90.00 111.90 120.00°
Fractional positions:
Er: 0.565 0.782 0.347
Er: 0.062 0.251 0.312
Pm: 0.000 0.000 0.000
Er: 0.938 0.189 0.688
Dy: 0.000 0.500 0.500
Pm: 0.500 0.500 0.000
Er: 0.435 0.218 0.653
Er: 0.062 0.811 0.312
Er: 0.938 0.749 0.688
Er: 0.501 0.251 0.312
Er: 0.499 0.749 0.688
Pm: 0.500 0.000 0.000
Pm: 0.000 0.500 0.000

Values from the calculation:
The density of states at the Fermi level comes out at 1.33 states/eV per atom. The value obtained for the total energy is -57.3 eV per cell.